! Pr8NiRu2 (PBE, optimized geometry); values from VASP
&SYSTEM
  ibrav = 0, nat = 11, ntyp = 3
/
ATOMIC_SPECIES
Pr 140.91 Pr.upf
Ni 58.69 Ni.upf
Ru 101.07 Ru.upf
CELL_PARAMETERS angstrom
4.218 -6.469 0.000
4.218 6.469 0.000
-2.323 0.000 6.013
ATOMIC_POSITIONS crystal
Pr 0.000 0.000 0.000
Pr 0.006 0.271 0.577
Pr 0.150 0.551 0.202
Pr 0.271 0.006 0.577
Pr 0.440 0.707 0.809
Pr 0.551 0.150 0.202
Pr 0.707 0.440 0.809
Pr 0.709 0.709 0.396
Ni 0.361 0.361 0.403
Ru 0.047 0.670 0.694
Ru 0.670 0.047 0.694
! - energy of formation from the pure elements (eV per atom) = -0.06
! - size of the total moment (μB per formula unit) = 0.0
! - DOS(E_F) (states/eV/f.u.) = 11.22



! AcPmI4 (PBE, optimized geometry); values from VASP
&SYSTEM
  ibrav = 0, nat = 12, ntyp = 3
/
ATOMIC_SPECIES
Ac 227.00 Ac.upf
Pm 145.00 Pm.upf
I 126.90 I.upf
CELL_PARAMETERS angstrom
4.364 -9.500 0.000
4.364 9.500 0.000
-4.331 0.000 6.428
ATOMIC_POSITIONS crystal
Ac 0.058 0.942 0.750
Ac 0.942 0.058 0.250
Pm 0.448 0.552 0.250
Pm 0.552 0.448 0.750
I 0.086 0.440 0.250
I 0.186 0.341 0.763
I 0.341 0.186 0.263
I 0.440 0.086 0.750
I 0.560 0.914 0.250
I 0.659 0.814 0.737
I 0.814 0.659 0.237
I 0.914 0.560 0.750
! - size of the total moment (μB per formula unit) = 0.0
! - raw formation energy (meV/atom) = -1242.7
! - DOS(E_F) (states/eV/f.u.) = 3.50



! HfBrN2 (PBE, optimized geometry); values from VASP
&SYSTEM
  ibrav = 0, nat = 16, ntyp = 3
/
ATOMIC_SPECIES
Hf 178.49 Hf.upf
Br 79.90 Br.upf
N 14.01 N.upf
CELL_PARAMETERS angstrom
5.756 0.000 0.000
0.000 5.756 0.000
0.000 0.000 10.247
ATOMIC_POSITIONS crystal
Hf 0.000 0.000 0.000
Hf 0.000 0.500 0.250
Hf 0.500 0.000 0.750
Hf 0.500 0.500 0.500
Br 0.000 0.000 0.500
Br 0.000 0.500 0.750
Br 0.500 0.000 0.250
Br 0.500 0.500 0.000
N 0.117 0.250 0.125
N 0.250 0.617 0.375
N 0.250 0.883 0.875
N 0.383 0.250 0.625
N 0.617 0.750 0.625
N 0.750 0.117 0.875
N 0.750 0.383 0.375
N 0.883 0.750 0.125
! - relative energy among the computed polymorphs (eV per atom) = 0.5836
! - size of the total moment (μB per formula unit) = 3.0
! - raw formation energy (meV/atom) = 261.3
! - DOS(E_F) (states/eV/f.u.) = 1.51